(1)
Computed, not measured: an optimized crystal structure of ZrB4Au at the PBE level of DFT.

Unit cell a=4.9614 b=4.9614 c=4.9614 alpha=142.95 beta=117.90 gamma=74.57
Last column: nearest neighbours and their distance in Å.
Sites, in units of the cell vectors:
Zr 0.0000 0.0000 0.0000  12 B 2.57-2.69
B 0.0382 0.7262 0.3119  3 B 1.74-1.92
B 0.4143 0.7262 0.6881  3 B 1.74-1.92
B 0.5857 0.2738 0.3119  3 B 1.74-1.92
B 0.9618 0.2738 0.6881  3 B 1.74-1.92
Au 0.5000 0.5000 0.0000  4 B 2.40

Calculated values
E above lowest polymorph: 0.000 eV per atom
Symmetry: No. 71
DFT total energy: -39.51 eV for the cell shown



(2)
Computed, not measured: an optimized crystal structure of Li4ZnCoSn2 at the PBE level of DFT.

Unit cell a=4.4141 b=4.4141 c=6.3571 alpha=90.00 beta=90.00 gamma=90.00
Last column: nearest neighbours and their distance in Å.
Sites, in units of the cell vectors:
Li 0.0000 0.0000 0.0000  4 Sn 2.64, 4 Li 2.69
Li 0.0000 0.5000 0.2423  4 Li 2.69-2.75, 2 Co 2.69, 2 Zn 2.75, 1 Sn 2.99
Li 0.5000 0.0000 0.7577  2 Co 2.69, 4 Li 2.69-2.75, 2 Zn 2.75, 1 Sn 2.99
Li 0.5000 0.5000 0.5000  4 Li 2.75, 4 Sn 2.81
Zn 0.0000 0.0000 0.5000  4 Li 2.75, 4 Sn 2.81
Co 0.5000 0.5000 0.0000  4 Sn 2.64, 4 Li 2.69
Sn 0.0000 0.5000 0.7726  2 Co 2.64, 4 Li 2.64-2.81, 2 Zn 2.81
Sn 0.5000 0.0000 0.2274  4 Li 2.64-2.81, 2 Co 2.64, 2 Zn 2.81

Calculated values
Symmetry: No. 115
DFT total energy: -26.10 eV for the cell shown



(3)
Computed, not measured: an optimized crystal structure of Lu4Zr2Al3C3 at the PBE level of DFT.

Unit cell a=5.9444 b=5.9444 c=15.3928 alpha=101.36 beta=101.36 gamma=59.97
Last column: nearest neighbours and their distance in Å.
Sites, in units of the cell vectors:
Lu 0.0359 0.1934 0.0926  3 C 2.43-2.45
Lu 0.1298 0.3026 0.4073  3 C 2.43-2.45
Lu 0.1934 0.0359 0.5926  3 C 2.43-2.45
Lu 0.3026 0.1298 0.9073  3 C 2.43-2.45
Lu 0.6974 0.8702 0.0927  3 C 2.43-2.45
Lu 0.8066 0.9641 0.4074  3 C 2.43-2.45
Lu 0.8702 0.6974 0.5927  3 C 2.43-2.45
Lu 0.9641 0.8066 0.9074  3 C 2.43-2.45
Zr 0.3549 0.5264 0.0787  3 C 2.26-2.28
Zr 0.4736 0.6451 0.4213  3 C 2.26-2.28
Zr 0.5264 0.3549 0.5787  3 C 2.26-2.28
Zr 0.6451 0.4736 0.9213  3 C 2.26-2.28
Al 0.1440 0.8560 0.2500  2 Al 2.81, 2 Zr 3.03
Al 0.3108 0.4179 0.7501  2 Al 2.79-2.81, 2 Zr 3.03-3.04
Al 0.4179 0.3108 0.2501  2 Al 2.79-2.81, 2 Zr 3.03-3.04
Al 0.5821 0.6892 0.7499  2 Al 2.79-2.81, 2 Zr 3.03-3.04
Al 0.6892 0.5821 0.2499  2 Al 2.79-2.81, 2 Zr 3.03-3.04
Al 0.8560 0.1440 0.7500  2 Al 2.81, 2 Zr 3.03
C 0.0000 0.5000 0.0000  2 Zr 2.28, 4 Lu 2.43
C 0.1812 0.6594 0.5000  2 Zr 2.26-2.27, 4 Lu 2.43-2.45
C 0.3406 0.8188 0.0000  2 Zr 2.26-2.27, 4 Lu 2.43-2.45
C 0.5000 0.0000 0.5000  2 Zr 2.28, 4 Lu 2.43
C 0.6594 0.1812 0.0000  2 Zr 2.26-2.27, 4 Lu 2.43-2.45
C 0.8188 0.3406 0.5000  2 Zr 2.26-2.27, 4 Lu 2.43-2.45

Calculated values
Symmetry: No. 15
DFT total energy: -159.29 eV for the cell shown



(4)
Computed, not measured: an optimized crystal structure of UMoPt at the PBE level of DFT.

Unit cell a=4.4353 b=4.4353 c=4.4353 alpha=60.00 beta=60.00 gamma=60.00
Last column: nearest neighbours and their distance in Å.
Sites, in units of the cell vectors:
U 0.0000 0.0000 0.0000  4 Mo 2.72
Mo 0.7500 0.7500 0.7500  4 Pt 2.72, 4 U 2.72
Pt 0.5000 0.5000 0.5000  4 Mo 2.72

Calculated values
E above lowest polymorph: 0.000 eV per atom
Symmetry: No. 216
Calculated formation energy: 0.27 eV per atom
DFT total energy: -27.38 eV for the cell shown



(5)
Computed, not measured: an optimized crystal structure of CuAgCl2 at the PBE level of DFT.

Unit cell a=6.8475 b=6.8475 c=6.8475 alpha=129.69 beta=129.69 gamma=73.90
Last column: nearest neighbours and their distance in Å.
Sites, in units of the cell vectors:
Cu 0.0000 0.0000 0.0000  4 Cl 2.34
Cu 0.7500 0.2500 0.5000  4 Cl 2.34
Ag 0.2500 0.7500 0.5000  4 Cl 2.62
Ag 0.5000 0.5000 0.0000  4 Cl 2.62
Cl 0.0831 0.1250 0.4581  2 Cu 2.34
Cl 0.3750 0.9169 0.0419  2 Cu 2.34
Cl 0.6669 0.6250 0.5419  2 Cu 2.34
Cl 0.8750 0.3331 0.9581  2 Cu 2.34

Calculated values
Symmetry: No. 122
DFT total energy: -23.83 eV for the cell shown



(6)
Computed, not measured: an optimized crystal structure of SrInPt at the PBE level of DFT.

Unit cell a=7.6568 b=4.5580 c=8.5668 alpha=90.00 beta=90.00 gamma=90.00
Last column: nearest neighbours and their distance in Å.
Sites, in units of the cell vectors:
Sr 0.0289 0.2500 0.1791  5 Pt 3.19-3.31, 5 In 3.43-3.50
Sr 0.4711 0.7500 0.6791  5 Pt 3.19-3.31, 5 In 3.43-3.50
Sr 0.5289 0.2500 0.3209  5 Pt 3.19-3.31, 5 In 3.43-3.50
Sr 0.9711 0.7500 0.8209  5 Pt 3.19-3.31, 5 In 3.43-3.50
In 0.1481 0.2500 0.5664  4 Pt 2.84-2.88
In 0.3519 0.7500 0.0664  4 Pt 2.84-2.88
In 0.6481 0.2500 0.9336  4 Pt 2.84-2.88
In 0.8519 0.7500 0.4336  4 Pt 2.84-2.88
Pt 0.2230 0.7500 0.3800  4 In 2.84-2.88
Pt 0.2770 0.2500 0.8800  4 In 2.84-2.88
Pt 0.7230 0.7500 0.1200  4 In 2.84-2.88
Pt 0.7770 0.2500 0.6200  4 In 2.84-2.88

Calculated values
Symmetry: No. 62
DFT total energy: -51.24 eV for the cell shown



(7)
Computed, not measured: an optimized crystal structure of Ge2MoAu at the PBE level of DFT.

Unit cell a=4.6091 b=4.6091 c=4.6091 alpha=60.00 beta=60.00 gamma=60.00
Last column: nearest neighbours and their distance in Å.
Sites, in units of the cell vectors:
Ge 0.0000 0.0000 0.0000  4 Au 2.82, 4 Ge 2.82
Ge 0.2500 0.2500 0.2500  4 Ge 2.82, 4 Mo 2.82
Mo 0.5000 0.5000 0.5000  4 Ge 2.82, 4 Au 2.82
Au 0.7500 0.7500 0.7500  4 Ge 2.82, 4 Mo 2.82

Calculated values
Symmetry: No. 216
DFT total energy: -21.26 eV for the cell shown



(8)
Computed, not measured: an optimized crystal structure of TbHo2Cu4Si2Ge2 at the PBE level of DFT.

Unit cell a=7.9196 b=7.9196 c=7.9196 alpha=149.47 beta=130.75 gamma=59.06
Last column: nearest neighbours and their distance in Å.
Sites, in units of the cell vectors:
Tb 0.0000 0.0000 0.0000  4 Si 2.96, 2 Ge 2.99
Ho 0.3706 0.8706 0.5000  6 Cu 2.96-3.12, 2 Ge 2.97, 4 Si 3.00
Ho 0.6294 0.1294 0.5000  6 Cu 2.96-3.12, 2 Ge 2.97, 4 Si 3.00
Cu 0.0268 0.3365 0.6903  1 Si 2.40, 1 Cu 2.51, 3 Ge 2.54-2.62
Cu 0.3538 0.6635 0.6903  1 Si 2.40, 1 Cu 2.51, 3 Ge 2.54-2.62
Cu 0.6462 0.3365 0.3097  1 Si 2.40, 1 Cu 2.51, 3 Ge 2.54-2.62
Cu 0.9732 0.6635 0.3097  1 Si 2.40, 1 Cu 2.51, 3 Ge 2.54-2.62
Si 0.3173 0.5000 0.8173  2 Cu 2.40, 1 Si 2.41
Si 0.6827 0.5000 0.1827  2 Cu 2.40, 1 Si 2.41
Ge 0.2173 0.2173 0.0000  6 Cu 2.54-2.62
Ge 0.7827 0.7827 0.0000  6 Cu 2.54-2.62

Calculated values
E above lowest polymorph: 0.007 eV per atom
Symmetry: No. 71
DFT total energy: -55.74 eV for the cell shown